1.
Li7Mn4CoO12, optimized geometry, DFT PBE+U; DOS(E_F) = 0.1 states/eV/f.u.; polymorph energy (0 for the lowest one) = 0.061 eV per atom
1.0
5.034 0.000 0.000
0.951 5.077 0.000
0.817 2.354 8.426
Li Mn Co O
7 4 1 12
Cartesian
0.000 0.000 0.000 Li
0.908 4.152 2.703 Li
1.696 2.344 0.651 Li
3.303 2.854 7.089 Li
3.409 4.698 1.283 Li
3.389 3.735 4.177 Li
5.830 3.253 5.629 Li
2.543 5.553 6.340 Mn
1.654 1.441 3.463 Mn
5.032 5.101 7.716 Mn
5.082 6.034 4.877 Mn
4.213 1.936 2.004 Co
1.597 4.104 7.283 O
0.794 0.798 1.878 O
1.743 5.066 4.534 O
2.465 1.964 5.194 O
3.437 6.213 7.942 O
2.579 2.841 2.531 O
4.209 5.436 3.212 O
4.171 4.447 6.071 O
3.474 1.291 0.285 O
4.965 3.432 0.926 O
5.866 6.563 6.611 O
5.169 2.556 3.779 O

2.
Li4MnCo2O7, optimized geometry, DFT PBE+U; polymorph energy (0 for the lowest one) = 0.054 eV per atom
1.0
4.973 0.000 0.000
1.560 5.661 0.000
1.030 -0.265 8.911
Li Mn Co O
8 2 4 14
Cartesian
0.000 0.000 0.000 Li
1.878 2.568 8.867 Li
1.825 0.994 6.528 Li
3.273 5.130 3.867 Li
3.247 3.639 1.205 Li
4.350 1.795 7.659 Li
4.250 0.250 5.239 Li
5.784 4.373 2.476 Li
2.480 0.783 1.248 Mn
4.986 1.556 2.521 Mn
2.595 3.867 6.452 Co
2.534 2.300 3.836 Co
5.093 4.661 7.731 Co
5.027 3.068 5.151 Co
1.682 3.927 4.460 O
2.442 5.597 1.960 O
1.580 2.462 1.890 O
3.538 3.662 8.219 O
2.780 0.754 8.443 O
4.164 4.802 5.768 O
3.488 2.097 5.703 O
3.349 0.663 3.093 O
4.130 3.193 3.233 O
4.804 4.800 0.731 O
4.087 1.772 0.842 O
5.090 -0.101 7.030 O
6.000 2.869 6.968 O
5.878 1.375 4.284 O

3.
Li4MnCo2O7, optimized geometry, DFT PBE+U; DOS(E_F) = 0.0 states/eV/f.u.; polymorph energy (0 for the lowest one) = 0.469 eV per atom
1.0
5.780 0.000 0.000
-1.747 6.938 0.000
-1.479 -3.728 7.967
Li Mn Co O
8 2 4 14
Cartesian
0.000 0.000 0.000 Li
-0.805 0.380 3.000 Li
-1.519 4.710 3.111 Li
-0.467 -1.902 6.605 Li
2.016 3.469 0.000 Li
3.020 5.112 1.363 Li
4.072 -1.500 4.857 Li
3.359 2.830 4.967 Li
0.332 5.688 1.340 Mn
2.221 -2.478 6.628 Mn
-0.371 1.269 6.192 Co
0.788 3.073 3.598 Co
1.765 0.137 4.369 Co
2.924 1.941 1.775 Co
-1.567 -0.197 6.320 O
0.281 -0.582 1.772 O
-0.149 3.550 1.858 O
0.490 -1.454 4.860 O
0.029 1.381 4.412 O
-0.723 4.014 4.859 O
2.268 1.605 0.083 O
0.286 1.605 7.884 O
3.276 -0.804 3.108 O
2.525 1.829 3.555 O
2.063 4.664 3.108 O
2.702 -0.340 6.109 O
2.272 3.792 6.195 O
4.120 3.407 1.647 O

4.
Li4MnCo2O7, optimized geometry, DFT PBE+U; polymorph energy (0 for the lowest one) = 0.268 eV per atom
1.0
6.116 0.000 0.000
0.083 7.813 0.000
2.959 3.267 6.972
Li Mn Co O
8 2 4 14
Cartesian
0.000 0.000 0.000 Li
0.773 4.531 1.238 Li
2.994 5.963 4.008 Li
4.448 5.080 6.247 Li
4.366 8.033 2.977 Li
5.236 3.181 3.664 Li
5.713 5.646 3.890 Li
7.225 5.327 6.586 Li
2.397 2.146 1.990 Mn
7.757 3.893 4.332 Mn
1.711 6.888 1.924 Co
5.453 7.964 6.228 Co
6.073 10.627 6.755 Co
7.125 8.553 4.226 Co
2.663 4.828 5.597 O
2.505 7.705 3.369 O
1.618 0.693 0.963 O
1.439 6.132 0.203 O
3.329 3.402 3.334 O
2.082 3.337 0.349 O
4.120 4.587 2.919 O
5.419 7.462 4.429 O
4.270 1.575 1.515 O
6.070 4.208 5.270 O
4.525 7.979 1.042 O
7.015 9.058 6.097 O
6.991 2.466 3.208 O
7.306 5.428 2.871 O

5.
Li4MnCo2O7, optimized geometry, DFT PBE+U; polymorph energy (0 for the lowest one) = 0.054 eV per atom
1.0
5.856 0.000 0.000
-1.562 6.396 0.000
-1.286 -3.646 6.562
Li Mn Co O
8 2 4 14
Cartesian
0.000 0.000 0.000 Li
-1.498 1.112 4.717 Li
-0.088 4.114 0.926 Li
-0.033 3.385 3.773 Li
1.614 -3.620 6.558 Li
2.949 -0.604 2.854 Li
3.108 -1.310 5.688 Li
4.406 1.677 1.865 Li
1.428 1.678 1.890 Mn
2.916 4.076 0.961 Mn
-0.022 -0.606 2.839 Co
0.066 -1.285 5.629 Co
1.513 1.112 4.733 Co
2.923 3.439 3.787 Co
-1.632 3.758 2.354 O
0.145 2.061 0.503 O
-1.538 3.215 5.080 O
0.056 1.426 3.185 O
1.401 -0.190 1.522 O
0.253 0.723 6.173 O
1.302 -0.804 4.249 O
1.561 3.617 2.350 O
2.825 2.103 0.570 O
1.561 2.993 5.072 O
2.758 1.384 3.293 O
4.469 -0.489 1.478 O
2.925 0.671 6.187 O
4.501 -0.904 4.216 O

6.
Li4MnCo2O7, optimized geometry, DFT PBE+U; DOS(E_F) = 3.1 states/eV/f.u.; polymorph energy (0 for the lowest one) = 0.097 eV per atom
1.0
6.260 -1.498 0.000
6.260 1.498 0.000
-4.664 0.000 13.719
Li Mn Co O
8 2 4 14
Cartesian
0.000 0.000 0.000 Li
-2.332 0.000 6.859 Li
0.750 0.000 2.709 Li
-0.685 0.000 12.822 Li
2.389 0.000 8.973 Li
5.467 0.000 4.745 Li
8.541 0.000 0.897 Li
7.105 0.000 11.010 Li
1.622 0.000 5.869 Mn
6.234 0.000 7.849 Mn
-1.644 0.000 9.902 Co
4.751 0.000 1.785 Co
3.104 0.000 11.934 Co
9.499 0.000 3.817 Co
-3.436 0.000 10.234 O
-2.689 0.000 13.113 O
-0.258 0.000 6.503 O
0.302 0.000 9.078 O
2.802 0.000 2.582 O
3.427 0.000 5.393 O
1.325 0.000 12.188 O
6.530 0.000 1.531 O
4.429 0.000 8.326 O
5.054 0.000 11.137 O
7.554 0.000 4.641 O
8.114 0.000 7.215 O
10.545 0.000 0.606 O
11.292 0.000 3.485 O

7.
Li6Mn3CoO10, optimized geometry, DFT PBE+U; DOS(E_F) = 2.1 states/eV/f.u.; polymorph energy (0 for the lowest one) = 0.038 eV per atom
1.0
12.073 -1.453 0.000
12.073 1.453 0.000
-0.331 0.000 5.116
Li Mn Co O
6 3 1 10
Cartesian
0.000 0.000 0.000 Li
4.880 0.000 2.098 Li
9.634 0.000 4.222 Li
12.032 0.000 2.666 Li
14.421 0.000 1.181 Li
19.453 0.000 3.318 Li
2.250 0.000 3.663 Mn
16.764 0.000 4.683 Mn
21.855 0.000 1.754 Mn
7.379 0.000 0.652 Co
1.391 0.000 2.082 O
3.831 0.000 0.214 O
5.796 0.000 3.930 O
8.591 0.000 2.413 O
10.839 0.000 0.988 O
13.303 0.000 4.417 O
15.579 0.000 3.083 O
18.089 0.000 1.189 O
20.698 0.000 0.080 O
22.806 0.000 3.334 O

8.
Li7Mn4CoO12, optimized geometry, DFT PBE+U; DOS(E_F) = 3.8 states/eV/f.u.; polymorph energy (0 for the lowest one) = 0.086 eV per atom
1.0
3.037 0.000 0.000
0.320 5.061 0.000
0.854 0.618 14.476
Li Mn Co O
7 4 1 12
Cartesian
0.000 0.000 0.000 Li
0.427 0.309 7.238 Li
0.585 3.592 4.988 Li
1.860 0.987 4.975 Li
1.679 2.530 0.000 Li
2.351 4.692 9.501 Li
3.626 2.087 9.489 Li
0.275 1.782 2.461 Mn
2.260 1.368 12.013 Mn
1.951 4.310 2.463 Mn
3.936 3.896 12.016 Mn
2.105 2.839 7.238 Co
0.967 2.300 13.165 O
0.560 2.047 6.209 O
0.327 0.185 3.603 O
2.223 2.983 10.921 O
1.573 0.843 1.321 O
2.126 4.274 6.168 O
2.085 1.405 8.308 O
2.638 4.836 13.155 O
1.988 2.696 3.556 O
3.884 5.494 10.873 O
3.650 3.632 8.267 O
3.244 3.378 1.312 O

9.
Li4MnCo2O7, optimized geometry, DFT PBE+U; polymorph energy (0 for the lowest one) = 0.052 eV per atom
1.0
5.911 0.000 0.000
-1.497 6.342 0.000
-2.793 -2.666 6.626
Li Mn Co O
8 2 4 14
Cartesian
0.000 0.000 0.000 Li
-2.848 1.339 5.687 Li
-1.381 3.038 3.784 Li
0.018 4.714 1.881 Li
2.956 0.000 0.000 Li
1.604 -1.038 4.746 Li
3.003 0.638 2.843 Li
4.469 2.337 0.939 Li
1.492 2.321 0.928 Mn
0.129 1.355 5.698 Mn
-1.360 -1.018 4.720 Co
0.050 0.625 2.759 Co
1.572 3.051 3.868 Co
2.981 4.694 1.907 Co
-2.608 -0.683 6.174 O
-2.933 3.417 5.057 O
-1.243 0.895 4.363 O
0.018 -1.300 3.383 O
0.173 2.635 2.305 O
1.540 0.482 1.440 O
1.518 4.235 0.403 O
0.103 -0.559 6.223 O
0.082 3.194 5.186 O
1.449 1.041 4.322 O
1.604 4.976 3.243 O
2.864 2.781 2.263 O
4.555 0.259 1.570 O
4.230 4.359 0.452 O

10.
Li4MnCo2O7, optimized geometry, DFT PBE+U; DOS(E_F) = 2.8 states/eV/f.u.; polymorph energy (0 for the lowest one) = 0.090 eV per atom
1.0
16.600 -1.432 0.000
16.600 1.432 0.000
-0.325 0.000 5.099
Li Mn Co O
8 2 4 14
Cartesian
0.000 0.000 0.000 Li
4.561 0.000 3.539 Li
9.573 0.000 2.009 Li
14.489 0.000 0.664 Li
16.605 0.000 2.481 Li
18.749 0.000 4.212 Li
23.667 0.000 2.912 Li
28.625 0.000 1.248 Li
7.225 0.000 0.363 Mn
11.804 0.000 3.786 Mn
2.377 0.000 1.675 Co
21.393 0.000 0.994 Co
25.940 0.000 4.623 Co
30.875 0.000 3.146 Co
1.365 0.000 3.126 O
3.764 0.000 0.237 O
5.864 0.000 1.792 O
8.124 0.000 3.984 O
10.865 0.000 0.174 O
13.132 0.000 2.374 O
15.212 0.000 4.013 O
18.059 0.000 0.850 O
20.119 0.000 2.405 O
22.383 0.000 4.622 O
24.830 0.000 1.266 O
27.412 0.000 2.905 O
29.428 0.000 4.607 O
31.992 0.000 1.668 O

11.
Li6Mn3CoO10, optimized geometry, DFT PBE+U; polymorph energy (0 for the lowest one) = 0.012 eV per atom
1.0
5.188 0.000 0.000
-1.934 5.582 0.000
-0.675 -1.942 6.153
Li Mn Co O
6 3 1 10
Cartesian
0.000 0.000 0.000 Li
-0.904 2.749 0.022 Li
0.074 1.389 2.496 Li
0.006 2.831 5.026 Li
2.699 0.721 1.242 Li
2.624 2.140 3.743 Li
-0.903 4.184 2.489 Mn
1.027 0.067 4.965 Mn
1.694 3.472 1.273 Mn
3.618 -0.641 3.730 Co
-0.652 0.915 4.359 O
-1.653 3.972 4.337 O
0.040 4.398 0.798 O
1.013 1.782 0.613 O
1.768 0.307 3.201 O
0.981 3.254 3.062 O
1.706 1.760 5.631 O
2.714 -0.852 5.408 O
4.345 -0.415 1.918 O
3.357 2.596 1.869 O

12.
Li4Mn5Co3O16, optimized geometry, DFT PBE+U; DOS(E_F) = 2.6 states/eV/f.u.; electronic total energy = -0.473 Ry/atom
1.0
4.998 -2.871 0.000
4.998 2.871 0.000
-0.319 0.000 9.458
Li Mn Co O
4 5 3 16
Cartesian
0.000 0.000 0.000 Li
-0.138 0.000 4.805 Li
2.997 0.000 5.786 Li
6.587 0.000 0.898 Li
4.036 1.425 2.661 Mn
3.251 0.000 0.074 Mn
6.346 0.000 4.912 Mn
4.036 -1.425 2.661 Mn
7.924 0.000 7.446 Mn
1.565 0.000 2.712 Co
5.468 1.395 7.459 Co
5.468 -1.395 7.459 Co
2.550 1.286 1.433 O
3.797 1.462 8.536 O
1.289 0.000 8.532 O
5.636 1.443 3.757 O
3.204 0.000 3.667 O
4.720 0.000 1.502 O
2.550 -1.286 1.433 O
4.772 0.000 6.395 O
7.025 1.274 6.289 O
6.296 0.000 8.427 O
3.797 -1.462 8.536 O
5.636 -1.443 3.757 O
8.276 0.000 3.668 O
7.025 -1.274 6.289 O
9.618 0.000 6.573 O
9.919 0.000 1.773 O

| no. | magnetization (Bohr magnetons per cell) |
| --- | --- |
| 1 | 15.995 |
| 2 | 20.000 |
| 3 | 22.000 |
| 4 | 2.072 |
| 5 | 13.999 |
| 6 | 22.000 |
| 7 | 11.999 |
| 8 | 18.000 |
| 9 | 17.999 |
| 10 | 5.940 |
| 11 | 0.000 |
| 12 | 4.041 |